# 1
Crystalline MgZnTe2 at its relaxed geometry. Source: the Alexandria database, functional PBE.

Geometry as POSCAR:
```
MgZnTe2
1.0
7.661 0.000 0.000
0.000 7.661 0.000
3.831 3.831 3.466
Te Mg Zn
4 2 2
Direct
0.190 0.690 0.000
0.690 0.810 0.000
0.810 0.310 0.000
0.310 0.190 0.000
0.750 0.750 0.500
0.250 0.250 0.500
0.250 0.750 0.500
0.750 0.250 0.500
```

Values from the calculation:
Mass density: 5.6 Mg/m³
Total magnetic moment: 0.0 μB/cell
Raw formation energy: -0.362 eV/atom

=====

# 2
Crystalline DyY2Pu at its relaxed geometry. Source: the Alexandria database, functional PBE.

Geometry as POSCAR:
```
DyY2Pu
1.0
3.511 0.000 0.000
0.000 3.511 0.000
0.000 0.000 10.041
Dy Y Pu
1 2 1
Direct
0.500 0.500 0.000
0.000 0.000 0.745
0.000 0.000 0.255
0.500 0.500 0.500
```

Values from the calculation:
Energy of formation from the pure elements: 0.110 eV per atom
Mass density: 7.8 Mg/m³
ΔE to the lowest computed polymorph: 0.010 eV per atom
Total magnetic moment: 6.2 μB/cell

=====

# 3
Crystalline Li2AcDyAu4 at its relaxed geometry. Source: the Alexandria database, functional PBE.

Geometry as POSCAR:
```
Li2AcDyAu4
1.0
-4.349 0.745 1.332
-3.370 0.197 -3.138
-3.944 -9.247 0.271
Ac Au Li Dy
1 4 2 1
Direct
0.000 0.000 0.000
0.398 0.398 0.807
0.602 0.602 0.193
0.885 0.885 0.346
0.115 0.115 0.654
0.759 0.759 0.722
0.241 0.241 0.278
0.500 0.500 0.500
```

Values from the calculation:
Energy of formation from the pure elements: -0.721 eV per atom
Mass density: 11.1 Mg/m³
Total magnetic moment: 0.0 μB/cell

=====

# 4
Crystalline Tb5Pu3Se8 at its relaxed geometry. Source: the Alexandria database, functional PBE.

Geometry as POSCAR:
```
Tb5Pu3Se8
1.0
7.115 0.000 4.076
2.390 6.702 4.076
0.001 0.001 8.247
Tb Se Pu
5 8 3
Direct
0.000 0.000 0.000
0.500 0.500 0.500
0.000 0.500 0.000
0.500 0.000 0.000
0.500 0.500 0.000
0.250 0.250 0.752
0.252 0.750 0.248
0.748 0.250 0.752
0.750 0.252 0.248
0.251 0.251 0.247
0.250 0.748 0.752
0.750 0.750 0.248
0.749 0.749 0.753
0.000 0.500 0.500
0.000 0.000 0.500
0.500 0.000 0.500
```

Values from the calculation:
Mass density: 9.1 Mg/m³
Total magnetic moment: 17.6 μB/cell
Raw formation energy: -1.709 eV/atom